LiZnOs2 after structural relaxation. Source: the Alexandria database, functional GGA-PBEsol.

Calculated values
Raw total energy (eV per atom): -6.775
Formation energy (kJ/mol of formula units): 85

Unit cell a=8.9331 b=2.6815 c=4.5826 alpha=90.00 beta=100.31 gamma=90.00
Space group C2/m (No. 12)
Unique sites:
Li  0.0000  0.0000  0.0000 [2 per cell]
Zn  0.0000  0.5000  0.5000 [2 per cell]
Os  0.2413  0.0000  0.7542 [4 per cell]

Li2ZnOs after structural relaxation. Source: the Alexandria database, functional GGA-PBEsol.

Calculated values
Raw total energy (eV per atom): -4.317
Formation energy (kJ/mol of formula units): 45

Unit cell a=2.6813 b=2.6813 c=27.6725 alpha=90.00 beta=90.00 gamma=120.00
Space group R3m (No. 160, hexagonal axes)
Unique sites:
Li  0.0000  0.0000  0.0000 [3 per cell]
Li  0.0000  0.0000  0.2388 [3 per cell]
Zn  0.0000  0.0000  0.4924 [3 per cell]
Os  0.0000  0.0000  0.7456 [3 per cell]

Li2ZnOs after structural relaxation. Source: the Alexandria database, functional GGA-PBEsol.

Calculated values
Raw total energy (eV per atom): -4.342
Formation energy (kJ/mol of formula units): 35

Unit cell a=2.5635 b=4.5169 c=4.6306 alpha=90.00 beta=93.20 gamma=90.00
Space group P2/m (No. 10)
Unique sites:
Li  0.2160  0.0000  0.2293 [2 per cell]
Zn  0.0000  0.5000  0.5000 [1 per cell]
Os  0.5000  0.5000  0.0000 [1 per cell]